Entry w
First-principles (GGA-PBE) data for crystalline Ba2GdAs2 at its relaxed geometry, as listed in OQMD via LeMat-Bulk.

The space group is Cmc2_1 (No. 36) and the conventional cell measures 4.698, 17.734 and 8.649 Å, with angles of 90.00, 90.00 and 90.00 degrees. Symmetry generates all atoms from Ba at (0.000, 0.054, 0.000), Ba at (0.000, 0.206, 0.670), Gd at (0.000, 0.411, 0.866), As at (0.000, 0.172, 0.297) and As at (0.000, 0.447, 0.193).

The calculation puts the magnetic moment at 0.46 μB/f.u.

=====

Entry x
First-principles (GGA-PBE) data for crystalline Ba2GdAs2 at its relaxed geometry, as listed in OQMD via LeMat-Bulk.

The space group is P2_1/c (No. 14) and the conventional cell measures 9.641, 9.908 and 7.996 Å, with angles of 90.00, 102.71 and 90.00 degrees. Symmetry generates all atoms from Ba at (0.023, 0.137, 0.263), Ba at (0.390, 0.652, 0.028), Gd at (0.324, 0.085, 0.989), As at (0.189, 0.622, 0.633) and As at (0.280, 0.158, 0.637).

The calculation puts the magnetic moment at 0.95 μB/f.u.

=====

Most stable structure among those shown: entry w. Next: +75 meV per atom.